Material: Hf2CuAs
Method: DFT, PBE
State: relaxed

Lattice parameters (Å, degrees): 5.873 5.873 5.873 104.92 104.92 119.01
Positions (direct):
Hf1 0.120 0.125 0.495
Hf2 0.375 0.880 0.005
Hf3 0.630 0.625 0.505
Hf4 0.875 0.370 0.995
Cu1 0.000 0.000 0.000
Cu2 0.750 0.250 0.500
As1 0.250 0.750 0.500
As2 0.500 0.500 0.000

Results
Its space group is I-42d (122). The calculated volume comes out at 19.1 Å³ per atom. Its formation energy is -0.177 eV/atom.